(1)
Below is crystalline ScCr2W at its relaxed geometry, with properties calculated at the GGA-PBE level.

Values from the calculation:
crystal system = monoclinic

a b c (Å): 5.576 8.427 2.688
angles (deg): 90.00 109.99 90.00
Space group C2/m (No. 12)
Asymmetric unit:
Sc 0.000 0.000 0.000 [2 per cell]
Cr 0.250 0.250 0.500 [4 per cell]
W 0.000 0.500 0.000 [2 per cell]

***

(2)
Below is crystalline ScCrW2 at its relaxed geometry, with properties calculated at the GGA-PBE level.

Values from the calculation:
crystal system = trigonal

a b c (Å): 2.9525 2.9525 26.4111
angles (deg): 90.00 90.00 120.00
Space group R3m (No. 160, hexagonal axes)
Asymmetric unit:
Sc 0.0000 0.0000 0.0000 [3 per cell]
Cr 0.0000 0.0000 0.2463 [3 per cell]
W 0.0000 0.0000 0.5110 [3 per cell]
W 0.0000 0.0000 0.7596 [3 per cell]

***

(3)
Below is crystalline ScCr2W at its relaxed geometry, with properties calculated at the GGA-PBE level.

Values from the calculation:
crystal system = tetragonal

a b c (Å): 3.104 3.104 6.432
angles (deg): 90.00 90.00 90.00
Space group P4/mmm (No. 123)
Asymmetric unit:
Sc 0.000 0.000 0.000 [1 per cell]
Cr 0.500 0.500 0.281 [2 per cell]
W 0.000 0.000 0.500 [1 per cell]

***

(4)
Below is crystalline Sc2CrW at its relaxed geometry, with properties calculated at the GGA-PBE level.

Values from the calculation:
crystal system = tetragonal

a b c (Å): 7.403 7.403 5.546
angles (deg): 90.00 90.00 90.00
Space group I-42d (No. 122)
Asymmetric unit:
Sc 0.233 0.250 0.125 [8 per cell]
Cr 0.000 0.000 0.000 [4 per cell]
W 0.000 0.000 0.500 [4 per cell]

***

(5)
Below is crystalline ScCrW2 at its relaxed geometry, with properties calculated at the GGA-PBE level.

Values from the calculation:
crystal system = orthorhombic

a b c (Å): 2.666 4.603 5.289
angles (deg): 90.00 90.00 90.00
Space group Pmm2 (No. 25)
Asymmetric unit:
Sc 0.000 0.000 0.000 [1 per cell]
Cr 0.500 0.500 0.765 [1 per cell]
W 0.000 0.000 0.506 [1 per cell]
W 0.500 0.500 0.267 [1 per cell]

***

(6)
Below is crystalline ScCrW2 at its relaxed geometry, with properties calculated at the GGA-PBE level.

Values from the calculation:
crystal system = orthorhombic

a b c (Å): 3.096 4.544 9.120
angles (deg): 90.00 90.00 90.00
Space group Immm (No. 71)
Asymmetric unit:
Sc 0.000 0.000 0.000 [2 per cell]
Cr 0.000 0.000 0.500 [2 per cell]
W 0.000 0.500 0.233 [4 per cell]

***

(7)
Below is crystalline Sc2CrW at its relaxed geometry, with properties calculated at the GGA-PBE level.

Values from the calculation:
crystal system = monoclinic

a b c (Å): 2.866 4.605 5.504
angles (deg): 90.00 104.08 90.00
Space group P2/m (No. 10)
Asymmetric unit:
Sc 0.184 0.000 0.253 [2 per cell]
Cr 0.000 0.500 0.500 [1 per cell]
W 0.500 0.500 0.000 [1 per cell]

***

(8)
Below is crystalline Sc2CrW at its relaxed geometry, with properties calculated at the GGA-PBE level.

Values from the calculation:
crystal system = cubic

a b c (Å): 6.658 6.658 6.658
angles (deg): 90.00 90.00 90.00
Space group Fm-3m (No. 225)
Asymmetric unit:
Sc 0.250 0.250 0.250 [8 per cell]
Cr 0.000 0.000 0.000 [4 per cell]
W 0.000 0.000 0.500 [4 per cell]

***

no.,distance to the lowest polymorph of the same formula (kJ/mol of formula units),formation energy (eV per atom),total moment (Bohr magnetons per cell)
1,59.1,0.36,0.001
2,114.7,0.47,0.000
3,0.0,0.21,2.496
4,272.0,0.83,12.231
5,118.3,0.48,0.000
6,0.0,0.17,1.037
7,112.3,0.42,1.461
8,122.2,0.44,12.755